The following is a PBE calculation of a relaxed Cr2CoSe crystal, from the Alexandria database.

Lattice parameters (Å, degrees): 3.0205 3.0205 5.6533 90.00 90.00 90.00
Fractional positions:
Cr 0.5000 0.5000 0.2377
Cr 0.0000 0.0000 0.0041
Co 0.5000 0.5000 0.7560
Se 0.0000 0.0000 0.5022

Results
theoretical density: 7.8 Mg/m³
formation energy without anion corrections: 0.20 eV/atom
D(E_F): 3.9 states/eV/f.u.
space group: P4mm

***

The following is a PBE calculation of a relaxed BePb2O2 crystal, from the Alexandria database.

Lattice parameters (Å, degrees): 5.3400 5.3400 5.1413 58.71 58.71 90.00
Fractional positions:
Pb 0.7500 0.2500 0.5000
Pb 0.2500 0.7500 0.5000
O 0.2100 0.2100 0.5800
O 0.7900 0.7900 0.4200
Be 0.0000 0.0000 0.0000

Results
theoretical density: 7.6 Mg/m³
formation energy without anion corrections: -1.05 eV/atom
D(E_F): 1.3 states/eV/f.u.
space group: I4/mmm

***

The following is a PBE calculation of a relaxed ReAsW2 crystal, from the Alexandria database.

Lattice parameters (Å, degrees): 8.9956 8.9956 8.9956 18.45 18.45 18.45
Fractional positions:
W 0.2489 0.2489 0.2489
W 0.0030 0.0030 0.0030
As 0.4980 0.4980 0.4980
Re 0.7501 0.7501 0.7501

Results
calculated formation energy: 136 kJ/mol of formula units
theoretical density: 16.4 Mg/m³
D(E_F): 1.6 states/eV/f.u.
space group: R3m

***

The following is a PBE calculation of a relaxed Li2HPd6 crystal, from the Alexandria database.

Lattice parameters (Å, degrees): 5.5500 5.5500 5.5500 60.00 60.00 60.00
Fractional positions:
Pd 0.2477 0.7526 0.2474
Pd 0.2476 0.2476 0.7521
Pd 0.7524 0.7524 0.2479
Pd 0.7523 0.2474 0.7526
Pd 0.7526 0.2477 0.2474
Pd 0.2474 0.7523 0.7526
Li 0.2500 0.2500 0.2499
Li 0.7500 0.7500 0.7501
H 0.5000 0.5000 0.5000

Results
theoretical density: 9.0 Mg/m³
D(E_F): 6.8 states/eV/f.u.
space group: Fm-3m
total energy: -4.53 eV per atom

***

What did we get for volume? Answer: 52; 100; 64; 121 Å³/cell, in the order shown.